A geometry-optimized Ta2MnF structure. Source: the Alexandria database, functional PBE with a Hubbard U.

VASP energy: -7.924 eV/atom
Energy above the most stable polymorph in this dataset: 0 meV/atom
Total magnetization: 1.1225 μB/atom

Unit cell a=10.8235 b=10.8235 c=10.8235 alpha=160.18 beta=160.18 gamma=28.17
Last column: nearest neighbours and their distance in Å.
Element x y z (fractional)
Ta 0.1188 0.6250 0.9938  4 Ta 2.60-2.67
Ta 0.3750 0.3688 0.4938  4 Ta 2.60-2.67
Ta 0.6312 0.1250 0.0062  4 Ta 2.60-2.67
Ta 0.8750 0.8812 0.5062  4 Ta 2.60-2.67
Mn 0.0000 0.0000 0.0000  4 F 2.63, 4 Ta 2.93
Mn 0.7500 0.2500 0.5000  4 F 2.63, 4 Ta 2.93
F 0.2500 0.7500 0.5000  4 Mn 2.63, 4 Ta 2.94
F 0.5000 0.5000 0.0000  4 Mn 2.63, 4 Ta 2.94